FeNi3Pb: optimized geometry, PBE.

Magnetic moment (μB/f.u.): 4.6
E above lowest polymorph (kJ/mol of formula units): 0
ΔH_f (0 K) (eV per atom): 0.770

```
5
Lattice="4.399 0.000 0.000 0.000 4.399 0.000 0.000 0.000 4.399" Properties=species:S:1:pos:R:3 pbc="T T T"
Fe 0.000 0.000 0.000
Ni 0.000 0.000 2.199
Ni 0.000 2.199 0.000
Ni 2.199 0.000 0.000
Pb 2.199 2.199 2.199
```

=====

FeNiPb2: optimized geometry, PBE.

Magnetic moment (μB/f.u.): 3.0
E above lowest polymorph (kJ/mol of formula units): 194
ΔH_f (0 K) (eV per atom): 0.768

```
16
Lattice="6.923 0.000 0.000 0.000 6.923 0.000 0.000 0.000 6.923" Properties=species:S:1:pos:R:3 pbc="T T T"
Fe 0.000 0.000 0.000
Fe 0.000 3.462 3.462
Fe 3.462 0.000 3.462
Fe 3.462 3.462 0.000
Ni 1.731 1.731 1.731
Ni 1.731 5.192 5.192
Ni 5.192 1.731 5.192
Ni 5.192 5.192 1.731
Pb 0.000 0.000 3.462
Pb 0.000 3.462 0.000
Pb 1.731 1.731 5.192
Pb 1.731 5.192 1.731
Pb 3.462 0.000 0.000
Pb 3.462 3.462 3.462
Pb 5.192 1.731 1.731
Pb 5.192 5.192 5.192
```

=====

FeNiPb4: optimized geometry, PBE.

Magnetic moment (μB/f.u.): 2.9
ΔH_f (0 K) (eV per atom): 1.049

```
6
Lattice="0.000 4.434 4.434 4.434 0.000 4.434 4.434 4.434 0.000" Properties=species:S:1:pos:R:3 pbc="T T T"
Fe 0.000 0.000 0.000
Ni 6.651 6.651 6.651
Pb 3.328 3.328 3.328
Pb 5.540 5.540 3.328
Pb 5.540 3.328 5.540
Pb 3.328 5.540 5.540
```

=====

FeNiPb: optimized geometry, PBE.

Magnetic moment (μB/f.u.): 3.5
E above lowest polymorph (kJ/mol of formula units): 0
ΔH_f (0 K) (eV per atom): 0.352

```
12
Lattice="5.989 0.000 0.000 0.000 5.989 0.000 0.000 0.000 5.989" Properties=species:S:1:pos:R:3 pbc="T T T"
Fe 0.000 0.000 0.000
Fe 0.000 2.994 2.994
Fe 2.994 0.000 2.994
Fe 2.994 2.994 0.000
Ni 1.497 1.497 1.497
Ni 1.497 4.491 4.491
Ni 4.491 1.497 4.491
Ni 4.491 4.491 1.497
Pb 0.000 0.000 2.994
Pb 0.000 2.994 0.000
Pb 2.994 0.000 0.000
Pb 2.994 2.994 2.994
```

=====

FeNiPb2: optimized geometry, PBE.

Magnetic moment (μB/f.u.): 2.7
E above lowest polymorph (kJ/mol of formula units): 89
ΔH_f (0 K) (eV per atom): 0.496

```
4
Lattice="3.398 0.000 0.000 0.000 4.733 0.000 0.000 0.000 4.757" Properties=species:S:1:pos:R:3 pbc="T T T"
Fe 0.000 0.000 0.000
Ni 0.000 2.367 2.379
Pb 1.699 0.000 2.379
Pb 1.699 2.367 0.000
```

=====

FeNiPb2: optimized geometry, PBE.

Magnetic moment (μB/f.u.): 2.9
E above lowest polymorph (kJ/mol of formula units): 106
ΔH_f (0 K) (eV per atom): 0.540

```
8
Lattice="8.429 0.000 0.000 0.000 3.270 0.000 -1.472 0.000 5.771" Properties=species:S:1:pos:R:3 pbc="T T T"
Fe 0.000 0.000 0.000
Fe 4.215 1.635 0.000
Ni -0.736 1.635 2.886
Ni 3.478 0.000 2.886
Pb 0.962 0.000 4.289
Pb 1.781 1.635 1.482
Pb 5.176 1.635 4.289
Pb 5.995 0.000 1.482
```

=====

FeNiPb2: optimized geometry, PBE.

Magnetic moment (μB/f.u.): 2.7
E above lowest polymorph (kJ/mol of formula units): 97
ΔH_f (0 K) (eV per atom): 0.516

```
4
Lattice="3.387 0.000 0.000 0.000 3.390 0.000 -0.705 0.000 6.686" Properties=species:S:1:pos:R:3 pbc="T T T"
Fe 0.000 0.000 0.000
Ni -0.352 0.000 3.343
Pb 1.127 1.695 4.991
Pb 1.555 1.695 1.696
```

=====

FeNiPb2: optimized geometry, PBE.

Magnetic moment (μB/f.u.): 3.0
E above lowest polymorph (kJ/mol of formula units): 102
ΔH_f (0 K) (eV per atom): 0.530

```
12
Lattice="3.324 0.000 0.000 -1.662 2.879 0.000 0.000 0.000 24.829" Properties=species:S:1:pos:R:3 pbc="T T T"
Fe 0.000 0.000 0.000
Fe 0.000 1.919 16.553
Fe 1.662 0.960 8.276
Ni 0.000 0.000 12.415
Ni 0.000 1.919 4.138
Ni 1.662 0.960 20.691
Pb 0.000 0.000 6.114
Pb 0.000 0.000 18.716
Pb 0.000 1.919 10.439
Pb 0.000 1.919 22.666
Pb 1.662 0.960 2.163
Pb 1.662 0.960 14.390
```

=====

FeNi2Pb2: optimized geometry, PBE.

Magnetic moment (μB/f.u.): 2.3
E above lowest polymorph (kJ/mol of formula units): 12
ΔH_f (0 K) (eV per atom): 0.534

```
10
Lattice="7.430 0.000 0.000 0.000 7.430 0.000 0.000 0.000 3.221" Properties=species:S:1:pos:R:3 pbc="T T T"
Fe 0.000 0.000 0.000
Fe 3.715 3.715 0.000
Ni 0.964 2.751 1.611
Ni 2.751 6.466 1.611
Ni 4.679 0.964 1.611
Ni 6.466 4.679 1.611
Pb 1.234 4.949 0.000
Pb 2.481 1.234 0.000
Pb 4.949 6.196 0.000
Pb 6.196 2.481 0.000
```

=====

FeNiPb2: optimized geometry, PBE.

Magnetic moment (μB/f.u.): 3.4
E above lowest polymorph (kJ/mol of formula units): 0
ΔH_f (0 K) (eV per atom): 0.265

```
4
Lattice="3.223 0.000 0.000 0.000 3.223 0.000 0.000 0.000 8.135" Properties=species:S:1:pos:R:3 pbc="T T T"
Fe 0.000 0.000 0.000
Ni 1.612 1.612 0.998
Pb 0.000 0.000 2.918
Pb 1.612 1.612 6.167
```

=====

FeNiPb2: optimized geometry, PBE.

Magnetic moment (μB/f.u.): 0.0
E above lowest polymorph (kJ/mol of formula units): 224
ΔH_f (0 K) (eV per atom): 0.846

```
16
Lattice="7.126 0.000 0.000 0.000 7.126 0.000 0.000 0.000 6.299" Properties=species:S:1:pos:R:3 pbc="T T T"
Fe 0.000 0.000 0.000
Fe 0.000 3.563 1.575
Fe 3.563 0.000 4.724
Fe 3.563 3.563 3.149
Ni 0.000 0.000 3.149
Ni 0.000 3.563 4.724
Ni 3.563 0.000 1.575
Ni 3.563 3.563 0.000
Pb 1.764 1.782 3.937
Pb 1.782 5.327 5.511
Pb 1.782 5.362 2.362
Pb 1.799 1.782 0.787
Pb 5.327 5.345 0.787
Pb 5.345 1.764 2.362
Pb 5.345 1.799 5.511
Pb 5.362 5.345 3.937
```

=====

FeNiPb: optimized geometry, PBE.

Magnetic moment (μB/f.u.): 3.0
E above lowest polymorph (kJ/mol of formula units): 34
ΔH_f (0 K) (eV per atom): 0.470

```
3
Lattice="4.138 0.000 0.000 -2.069 3.584 0.000 0.000 0.000 3.400" Properties=species:S:1:pos:R:3 pbc="T T T"
Fe 0.000 0.000 0.000
Ni 0.000 2.389 0.507
Pb 2.069 1.195 1.879
```

=====

FeNi2PtPb: optimized geometry, PBE.

Magnetic moment (μB/f.u.): 4.5
ΔH_f (0 K) (eV per atom): 0.670

```
5
Lattice="4.395 0.000 0.000 0.000 4.395 0.000 0.000 0.000 4.756" Properties=species:S:1:pos:R:3 pbc="T T T"
Fe 0.000 0.000 0.000
Ni 0.000 2.197 0.000
Ni 2.197 0.000 0.000
Pt 0.000 0.000 2.378
Pb 2.197 2.197 2.378
```

=====

FeNiSbPb2: optimized geometry, PBE.

Magnetic moment (μB/f.u.): 3.5
Formation energy (no corrections) (eV per atom): 0.501

```
5
Lattice="5.116 0.000 0.000 0.000 5.116 0.000 0.000 0.000 4.690" Properties=species:S:1:pos:R:3 pbc="T T T"
Fe 0.000 0.000 0.000
Ni 0.000 0.000 2.345
Sb 2.558 2.558 0.000
Pb 0.000 2.558 2.345
Pb 2.558 0.000 2.345
```

=====

FeNiSnPb2: optimized geometry, PBE.

Magnetic moment (μB/f.u.): 3.2
ΔH_f (0 K) (eV per atom): 0.511

```
5
Lattice="5.068 0.000 0.000 0.000 5.068 0.000 0.000 0.000 4.755" Properties=species:S:1:pos:R:3 pbc="T T T"
Fe 0.000 0.000 0.000
Ni 0.000 0.000 2.378
Sn 2.534 2.534 0.000
Pb 0.000 2.534 2.378
Pb 2.534 0.000 2.378
```

=====

Ta2FeNiPb: optimized geometry, PBE.

Magnetic moment (μB/f.u.): 0.0
ΔH_f (0 K) (eV per atom): 1.045

```
5
Lattice="4.557 0.000 0.000 0.000 4.557 0.000 0.000 0.000 4.788" Properties=species:S:1:pos:R:3 pbc="T T T"
Ta 0.000 2.278 0.000
Ta 2.278 0.000 0.000
Fe 0.000 0.000 0.000
Ni 2.278 2.278 2.394
Pb 0.000 0.000 2.394
```

=====

FeNiTe2Pb: optimized geometry, PBE.

Magnetic moment (μB/f.u.): 3.2
Formation energy (no corrections) (eV per atom): 0.654

```
5
Lattice="5.140 0.000 0.000 0.000 5.140 0.000 0.000 0.000 4.979" Properties=species:S:1:pos:R:3 pbc="T T T"
Fe 0.000 0.000 0.000
Ni 2.570 2.570 2.489
Te 0.000 2.570 2.489
Te 2.570 0.000 2.489
Pb 2.570 2.570 0.000
```

=====

Y2FeNiPb: optimized geometry, PBE.

Magnetic moment (μB/f.u.): 2.3
ΔH_f (0 K) (eV per atom): 0.306

```
5
Lattice="5.184 0.000 0.000 0.000 5.184 0.000 0.000 0.000 4.803" Properties=species:S:1:pos:R:3 pbc="T T T"
Y 0.000 2.592 0.000
Y 2.592 0.000 0.000
Fe 0.000 0.000 2.401
Ni 2.592 2.592 0.000
Pb 2.592 2.592 2.401
```

=====

FeNi4Pd: optimized geometry, PBE.

Magnetic moment (μB/f.u.): 5.5
E above lowest polymorph (kJ/mol of formula units): 29
ΔH_f (0 K) (eV per atom): 0.015

```
12
Lattice="8.066 0.000 0.000 0.000 2.564 0.000 0.000 0.000 6.939" Properties=species:S:1:pos:R:3 pbc="T T T"
Fe 2.017 0.000 1.279
Fe 6.050 0.000 5.660
Ni 0.000 0.000 0.000
Ni 0.130 1.282 2.198
Ni 2.017 1.282 6.114
Ni 3.904 1.282 2.198
Ni 4.033 0.000 0.000
Ni 4.163 1.282 4.742
Ni 6.050 1.282 0.825
Ni 7.937 1.282 4.742
Pd 2.017 0.000 3.777
Pd 6.050 0.000 3.162
```

=====

Fe2NiPd4: optimized geometry, PBE.

Magnetic moment (μB/f.u.): 8.7
E above lowest polymorph (kJ/mol of formula units): 0
ΔH_f (0 K) (eV per atom): 0.075

```
14
Lattice="5.462 0.000 0.000 0.000 5.462 0.000 0.000 0.000 7.151" Properties=species:S:1:pos:R:3 pbc="T T T"
Fe 0.000 2.731 0.000
Fe 0.000 2.731 3.575
Fe 2.731 0.000 0.000
Fe 2.731 0.000 3.575
Ni 0.000 0.000 0.000
Ni 2.731 2.731 3.575
Pd 1.365 1.365 1.788
Pd 1.365 1.365 5.363
Pd 1.365 4.096 1.788
Pd 1.365 4.096 5.363
Pd 4.096 1.365 1.788
Pd 4.096 1.365 5.363
Pd 4.096 4.096 1.788
Pd 4.096 4.096 5.363
```

=====

Fe3NiPd12: optimized geometry, PBE.

Magnetic moment (μB/f.u.): 13.9
ΔH_f (0 K) (eV per atom): -0.065

```
16
Lattice="3.896 0.000 0.000 0.000 3.896 0.000 0.000 0.000 15.498" Properties=species:S:1:pos:R:3 pbc="T T T"
Fe 0.000 0.000 0.000
Fe 0.000 0.000 3.927
Fe 0.000 0.000 11.571
Ni 0.000 0.000 7.749
Pd 0.000 1.948 1.941
Pd 0.000 1.948 5.810
Pd 0.000 1.948 9.689
Pd 0.000 1.948 13.557
Pd 1.948 0.000 1.941
Pd 1.948 0.000 5.810
Pd 1.948 0.000 9.689
Pd 1.948 0.000 13.557
Pd 1.948 1.948 0.000
Pd 1.948 1.948 3.880
Pd 1.948 1.948 7.749
Pd 1.948 1.948 11.618
```

=====

Fe3Ni7Pd2: optimized geometry, PBE.

Magnetic moment (μB/f.u.): 13.6
ΔH_f (0 K) (eV per atom): -0.011

```
12
Lattice="2.600 0.000 0.000 -1.300 6.621 0.000 -0.016 -0.012 8.387" Properties=species:S:1:pos:R:3 pbc="T T T"
Fe 0.000 0.000 0.000
Fe -0.004 2.989 2.085
Fe 1.288 3.620 6.302
Ni -0.008 -0.006 4.194
Ni -0.011 1.541 6.284
Ni -0.007 4.379 4.153
Ni 0.000 4.395 0.040
Ni 1.284 2.214 8.348
Ni 1.291 2.229 4.235
Ni 1.295 5.068 2.103
Pd -0.012 5.882 6.279
Pd 1.296 0.727 2.108
```

=====

FeNi2Pd6: optimized geometry, PBE.

Magnetic moment (μB/f.u.): 6.9
E above lowest polymorph (kJ/mol of formula units): 60
ΔH_f (0 K) (eV per atom): 0.006

```
9
Lattice="7.351 0.000 0.000 -3.675 6.366 0.000 0.000 0.000 2.755" Properties=species:S:1:pos:R:3 pbc="T T T"
Fe 0.000 0.000 0.000
Ni 0.000 4.244 2.111
Ni 3.675 2.122 0.644
Pd -2.225 4.362 0.718
Pd 1.011 2.258 0.718
Pd 2.461 0.254 2.037
Pd 1.215 6.112 0.718
Pd 2.665 4.108 2.037
Pd 5.900 2.004 2.037
```

=====

Fe4NiPd: optimized geometry, PBE.

Magnetic moment (μB/f.u.): 9.5
ΔH_f (0 K) (eV per atom): 0.105

```
6
Lattice="0.000 3.326 3.326 3.326 0.000 3.326 3.326 3.326 0.000" Properties=species:S:1:pos:R:3 pbc="T T T"
Fe 0.829 0.829 0.829
Fe 2.497 2.497 0.829
Fe 2.497 0.829 2.497
Fe 0.829 2.497 2.497
Ni 4.989 4.989 4.989
Pd 3.326 3.326 3.326
```

=====

Fe6NiPd12: optimized geometry, PBE.

Magnetic moment (μB/f.u.): 23.3
E above lowest polymorph (kJ/mol of formula units): 189
ΔH_f (0 K) (eV per atom): 0.053

```
19
Lattice="5.178 2.990 3.078 -5.178 2.990 3.078 0.000 -5.979 3.078" Properties=species:S:1:pos:R:3 pbc="T T T"
Fe -1.318 -3.697 3.078
Fe -3.860 0.707 3.078
Fe 1.318 -3.697 3.078
Fe -2.542 2.990 3.078
Fe 3.860 0.707 3.078
Fe 2.542 2.990 3.078
Ni 0.000 0.000 4.617
Pd 0.000 -1.616 2.195
Pd -1.400 0.808 2.195
Pd -2.253 -1.301 4.296
Pd 0.000 -2.602 4.937
Pd -2.253 1.301 4.937
Pd 1.400 0.808 2.195
Pd -1.400 -0.808 7.038
Pd 2.253 -1.301 4.296
Pd 0.000 2.602 4.296
Pd 2.253 1.301 4.937
Pd 1.400 -0.808 7.038
Pd 0.000 1.616 7.038
```

=====

Fe3Ni3Pd: optimized geometry, PBE.

Magnetic moment (μB/f.u.): 10.8
ΔH_f (0 K) (eV per atom): 0.121

```
14
Lattice="4.056 -4.234 0.000 4.056 4.234 0.000 0.000 0.000 5.135" Properties=species:S:1:pos:R:3 pbc="T T T"
Fe 4.056 2.834 0.000
Fe 2.071 0.000 0.000
Fe 4.056 2.050 2.568
Fe 4.056 -2.050 2.568
Fe 6.041 0.000 0.000
Fe 4.056 -2.834 0.000
Ni 2.028 2.117 1.226
Ni 2.028 2.117 3.909
Ni 2.028 -2.117 1.226
Ni 2.028 -2.117 3.909
Ni 4.056 0.000 1.305
Ni 4.056 0.000 3.831
Pd 1.421 0.000 2.568
Pd 6.691 0.000 2.568
```